VASP calculation (PBE) on a relaxed structure of LiSc2Sb.

Results
As for the crystal system: trigonal. For the energy relative to the elements, uncorrected, the calculation gives 0.169 eV/atom. As for the magnetic moment: 0.2 μB per formula unit. As for the space group: No. 166.

a b c (Å): 11.0244 11.0244 11.0244
angles (deg): 17.13 17.13 17.13
Closest atoms and distances in Å follow each position.
Sites, in units of the cell vectors:
Sc  0.9108  0.9108  0.9108  1 Sb 2.91, 3 Li 3.16
Sc  0.0892  0.0892  0.0892  1 Sb 2.91, 3 Li 3.16
Sb  0.0000  0.0000  0.0000  2 Sc 2.91
Li  0.5000  0.5000  0.5000  6 Sc 3.16, 6 Li 3.28